[1]
PBE-GGA Tm2TiO5, relaxed; total magnetic moment = 0.0000 μB per atom; uncorrected energy = -8.604 eV/atom; E above lowest polymorph = 0.65 eV per formula unit; formation energy from raw total energies = -3.400 eV per atom
1.0
6.351 0.016 0.012
4.174 4.787 0.012
2.748 1.254 6.840
O Tm Ti
10 4 2
Cartesian
2.456 1.971 2.455 O
5.232 4.288 1.722 O
4.472 1.190 5.875 O
8.801 4.866 0.989 O
7.128 4.293 3.724 O
6.146 1.762 3.140 O
10.817 4.085 4.409 O
6.540 1.942 0.304 O
8.042 1.768 5.142 O
6.733 4.113 6.560 O
8.794 3.958 5.121 Tm
7.379 3.421 1.701 Tm
4.479 2.098 1.742 Tm
5.895 2.635 5.162 Tm
0.000 0.000 0.000 Ti
1.374 0.627 3.420 Ti

[2]
PBE-GGA RbTb4Tl5, relaxed; total magnetic moment = 0.0000 μB per atom; ΔE_f = -0.28 eV/atom; uncorrected energy = -3.417 eV/atom
1.0
-3.139 2.195 -0.481
-2.224 -3.153 0.121
-1.701 1.969 20.077
Tb Tl Rb
4 5 1
Cartesian
-1.009 1.169 11.915 Tb
-0.374 0.433 4.414 Tb
-1.327 1.536 15.663 Tb
-0.691 0.801 8.162 Tb
-3.216 0.140 6.134 Tl
-3.532 0.506 9.858 Tl
-4.153 1.224 17.187 Tl
-3.847 0.871 13.582 Tl
-2.911 -0.213 2.529 Tl
0.000 0.000 0.000 Rb

[3]
PBE-GGA Na2ScHgF8, relaxed; total magnetic moment = 0.0766 μB per atom; uncorrected energy = -4.639 eV/atom; formation energy from raw total energies = -2.619 eV per atom
1.0
-4.485 0.142 -2.053
-1.472 -3.562 3.531
-1.844 5.115 4.425
F Na Hg Sc
8 2 1 1
Cartesian
-3.445 1.051 5.921 F
-4.357 0.644 -0.018 F
-2.443 -1.711 3.522 F
-5.359 3.406 2.381 F
-2.687 1.574 2.614 F
-1.701 -0.934 0.379 F
-6.100 2.629 5.524 F
-5.115 0.121 3.289 F
-4.389 2.207 4.123 Na
-3.413 -0.512 1.780 Na
-0.922 2.558 2.212 Hg
0.000 0.000 0.000 Sc

[4]
PBE-GGA PaCu3, relaxed; total magnetic moment = 0.0004 μB per atom; ΔE_f = -0.03 eV/atom; uncorrected energy = -5.471 eV/atom; E above lowest polymorph = 0.00 eV per formula unit
1.0
-2.532 -1.502 -2.990
-0.989 -1.888 4.731
-4.150 4.861 1.072
Cu Pa
6 2
Cartesian
-2.900 2.031 1.436 Cu
-4.492 3.896 1.847 Cu
-4.771 -0.559 1.377 Cu
-5.318 1.796 0.657 Cu
-3.179 -2.424 0.966 Cu
-2.353 -0.324 2.155 Cu
-4.999 1.438 3.511 Pa
-2.672 0.033 -0.699 Pa

[5]
PBE-GGA La2Zn3Pt4, relaxed; total magnetic moment = 0.0000 μB per atom; ΔE_f = -0.88 eV/atom; uncorrected energy = -5.080 eV/atom
1.0
5.717 0.000 0.000
0.000 7.614 0.000
-2.858 0.000 7.955
La Pt Zn
4 8 6
Cartesian
0.000 4.436 1.798 La
2.858 6.985 1.798 La
2.858 3.178 6.157 La
0.000 0.629 6.157 La
1.429 1.903 0.980 Pt
0.000 3.614 5.132 Pt
1.429 5.710 6.974 Pt
4.288 1.903 0.980 Pt
0.000 7.421 2.822 Pt
-1.429 5.710 6.974 Pt
2.858 0.193 5.132 Pt
2.858 4.000 2.822 Pt
-1.429 5.710 4.340 Zn
1.429 5.710 4.340 Zn
2.858 3.807 0.000 Zn
0.000 0.000 0.000 Zn
4.288 1.903 3.615 Zn
1.429 1.903 3.615 Zn

[6]
PBE-GGA Ba3Na2Zn, relaxed; total magnetic moment = 0.0000 μB per atom; ΔE_f = -0.05 eV/atom; uncorrected energy = -1.664 eV/atom
1.0
-2.399 -2.256 -5.056
5.474 -7.299 -2.941
-5.331 -6.117 5.260
Ba Zn Na
6 2 4
Cartesian
-4.283 -9.292 -1.021 Ba
-2.376 -2.479 -1.367 Ba
-1.115 -9.985 1.385 Ba
2.028 -6.380 -1.716 Ba
-5.353 -5.895 1.571 Ba
-1.141 -5.687 -4.122 Ba
2.143 -6.456 -5.337 Zn
0.931 -3.099 -2.660 Zn
-0.627 -9.417 -2.701 Na
-1.628 -6.255 -0.036 Na
0.000 0.000 0.000 Na
-2.665 -3.058 2.630 Na

[7]
PBE-GGA In2Ni7Sb2Pt, relaxed; total magnetic moment = 0.1611 μB per atom; uncorrected energy = -5.013 eV/atom; formation energy from raw total energies = 0.006 eV per atom
1.0
-2.870 2.202 -0.379
-2.134 -2.487 1.578
1.203 5.884 13.650
Ni Sb In Pt
7 2 2 1
Cartesian
-0.578 6.254 11.836 Ni
-2.625 3.126 8.479 Ni
-1.175 2.473 6.369 Ni
-3.222 -0.655 3.013 Ni
-2.502 -0.143 0.599 Ni
-3.590 1.691 2.034 Ni
-0.209 3.908 12.814 Ni
-3.798 2.096 6.451 Sb
-0.001 3.503 8.397 Sb
-1.782 1.371 3.956 In
-2.017 4.228 10.893 In
0.000 0.000 0.000 Pt

[8]
PBE-GGA LiCrBr4, relaxed; total magnetic moment = 0.5000 μB per atom; uncorrected energy = -4.044 eV/atom; E above lowest polymorph = 0.00 eV per formula unit; formation energy from raw total energies = -1.006 eV per atom
1.0
3.740 0.000 0.000
0.000 6.593 -0.948
0.000 0.887 6.615
Br Cr Li
4 1 1
Cartesian
0.000 5.729 3.513 Br
0.000 1.750 2.154 Br
1.870 2.125 5.163 Br
1.870 5.355 0.504 Br
1.870 0.443 3.307 Cr
0.000 0.000 0.000 Li

[9]
PBE-GGA Tb3MnFe8, relaxed; total magnetic moment = 1.5305 μB per atom; ΔE_f = 0.00 eV/atom; uncorrected energy = -7.560 eV/atom
1.0
4.834 0.000 1.459
2.197 4.306 1.459
-0.004 -0.002 8.749
Fe Tb Mn
8 3 1
Cartesian
1.319 0.808 4.366 Fe
5.476 1.875 3.696 Fe
4.207 4.037 7.962 Fe
4.159 4.026 3.696 Fe
6.592 4.037 8.682 Fe
4.828 2.957 10.214 Fe
5.508 1.913 7.962 Fe
3.061 1.875 2.967 Fe
3.540 2.168 5.744 Tb
2.638 1.616 8.732 Tb
6.995 4.284 3.035 Tb
6.140 3.760 5.869 Mn

[10]
PBE-GGA P2PbCl, relaxed; total magnetic moment = 0.0000 μB per atom; uncorrected energy = -3.547 eV/atom; E above lowest polymorph = 3.12 eV per formula unit; formation energy from raw total energies = 0.547 eV per atom
1.0
-6.647 0.552 -0.843
-5.966 -2.611 1.672
-5.831 1.222 3.116
P Cl Pb
2 1 1
Cartesian
-9.339 -0.424 1.997 P
-18.329 -0.832 3.919 P
-13.834 -0.628 2.958 Cl
-4.611 -0.209 0.986 Pb

[11]
PBE-GGA YIr3S, relaxed; total magnetic moment = 0.6962 μB per atom; uncorrected energy = -5.054 eV/atom; E above lowest polymorph = 11.82 eV per formula unit; formation energy from raw total energies = 2.381 eV per atom
1.0
5.031 0.000 0.000
0.000 5.031 0.000
0.000 0.000 5.031
S Ir Y
1 3 1
Cartesian
2.515 2.515 2.515 S
0.000 0.000 2.515 Ir
2.515 0.000 0.000 Ir
0.000 2.515 0.000 Ir
0.000 0.000 0.000 Y

[12]
PBE-GGA NaBi3Cl, relaxed; total magnetic moment = 0.0000 μB per atom; uncorrected energy = -2.645 eV/atom; E above lowest polymorph = 0.00 eV per formula unit; formation energy from raw total energies = 0.317 eV per atom
1.0
-1.062 5.530 -0.248
-5.534 -1.068 -0.100
-0.145 0.224 5.630
Bi Cl Na
3 1 1
Cartesian
-0.531 2.765 -0.124 Bi
-2.767 -0.534 -0.050 Bi
-0.073 0.112 2.815 Bi
0.000 0.000 0.000 Cl
-3.371 2.343 2.641 Na